The following is a PBE-GGA calculation of crystalline BaFe2Cl at its relaxed geometry, from Alexandria via LeMat-Bulk.

DOS at the Fermi energy ... 4.012 states/eV/f.u.
Total DFT energy (no corrections) ... -4.588 eV per atom
Distance to the lowest polymorph of the same formula ... 610 meV/atom
Density ... 4.38 g/cm3
Formation energy without anion corrections ... 56 kJ per mole of atoms

abc: 5.6532 11.0861 3.4411
angles: 90.00 90.00 90.00
Space group Cmmm (No. 65)
Symmetry-distinct sites (fractional):
Ba: 0.0000 0.0000 0.0000 (multiplicity 2)
Fe: 0.2500 0.2500 0.5000 (multiplicity 4)
Cl: 0.0000 0.5000 0.0000 (multiplicity 2)

***

The following is a PBE-GGA calculation of crystalline CaCO4 at its relaxed geometry, from Alexandria via LeMat-Bulk.

DOS at the Fermi energy ... 0.000 states/eV/f.u.
Total DFT energy (no corrections) ... -6.690 eV per atom
Density ... 2.72 g/cm3
Formation energy without anion corrections ... -146 kJ per mole of atoms

abc: 3.9818 5.4784 6.7249
angles: 90.00 104.55 90.00
Space group P2_1/m (No. 11)
Symmetry-distinct sites (fractional):
Ca: 0.1644 0.2500 0.2850 (multiplicity 2)
C: 0.2952 0.2500 0.7469 (multiplicity 2)
O: 0.0000 0.0000 0.0000 (multiplicity 2)
O: 0.2652 0.2500 0.9399 (multiplicity 2)
O: 0.3046 0.0445 0.6571 (multiplicity 4)

***

The following is a PBE-GGA calculation of crystalline Mg3FeW at its relaxed geometry, from Alexandria via LeMat-Bulk.

DOS at the Fermi energy ... 6.239 states/eV/f.u.
Total DFT energy (no corrections) ... -3.479 eV per atom
DFT formation energy ... 40.61 kcal/mol of atoms
Distance to the lowest polymorph of the same formula ... 287 meV/atom
Density ... 3.81 g/cm3

abc: 5.1465 5.1465 5.1465
angles: 90.00 90.00 90.00
Space group Pm-3m (No. 221)
Symmetry-distinct sites (fractional):
Mg: 0.0000 0.0000 0.5000 (multiplicity 3)
Fe: 0.5000 0.5000 0.5000 (multiplicity 1)
W: 0.0000 0.0000 0.0000 (multiplicity 1)

***

The following is a PBE-GGA calculation of crystalline RbCaCdBi at its relaxed geometry, from Alexandria via LeMat-Bulk.

Total DFT energy (no corrections) ... -2.284 eV per atom
DFT formation energy ... -7.90 kcal/mol of atoms
Density ... 5.29 g/cm3

abc: 8.2487 8.2487 8.2487
angles: 90.00 90.00 90.00
Space group F-43m (No. 216)
Symmetry-distinct sites (fractional):
Rb: 0.0000 0.0000 0.0000 (multiplicity 4)
Ca: 0.0000 0.0000 0.5000 (multiplicity 4)
Cd: 0.2500 0.2500 0.7500 (multiplicity 4)
Bi: 0.2500 0.2500 0.2500 (multiplicity 4)